Below is WSe2F after structural relaxation, with properties calculated at the PBE+U level. Values from VASP.

```
&SYSTEM
  ibrav = 0, nat = 4, ntyp = 3
/
ATOMIC_SPECIES
Se 78.96 Se.upf
W 183.84 W.upf
F 19.00 F.upf
ATOMIC_POSITIONS crystal
Se 0.104 0.104 0.104
Se 0.896 0.896 0.896
W 0.500 0.500 0.500
F 0.000 0.000 0.000
CELL_PARAMETERS angstrom
-0.469 -4.768 5.528
1.960 -1.780 6.819
-2.072 -1.296 6.895
```

## Properties
- Volume: 99.0 Å³/cell
- Energy: -17.77 eV for the cell shown
- Energy above the lowest structure with this stoichiometry: 0 kJ/mol of formula units
- Magnetization: 2.958 μB per formula unit
- SG: R-3m (166)